(1)
A plane-wave DFT calculation with GGA-PBE was carried out for TcTeAu2 after structural relaxation.

Results
Crystal system: orthorhombic
Energy relative to the elements, uncorrected, meV per atom: 480
Symmetry: No. 35
DOS at the Fermi energy, states/eV/f.u.: 3.2

Cell lengths 2.9756, 2.9756, 10.1387 Å; angles 90.00, 90.00, 115.01 degrees
Closest atoms and distances in Å follow each position.
Element x y z (fractional)
Tc: 0.0000 0.0000 0.0000  2 Te 2.67, 2 Au 2.80, 4 Tc 2.98
Te: 0.5000 0.5000 0.7895  2 Tc 2.67, 4 Te 2.98
Au: 0.0000 0.0000 0.4633  8 Au 2.88-3.20
Au: 0.5000 0.5000 0.2265  2 Tc 2.80, 6 Au 2.88-2.98

***

(2)
A plane-wave DFT calculation with GGA-PBE was carried out for BiPbC3 after structural relaxation.

Results
Crystal system: cubic
E_tot, eV per atom: -4.102
Symmetry: No. 221
DOS at the Fermi energy, states/eV/f.u.: 3.9

Cell lengths 4.5755, 4.5755, 4.5755 Å; angles 90.00, 90.00, 90.00 degrees
Closest atoms and distances in Å follow each position.
Element x y z (fractional)
Bi: 0.0000 0.0000 0.0000  6 C 2.29
Pb: 0.5000 0.5000 0.5000  12 C 3.24
C: 0.0000 0.0000 0.5000  2 Bi 2.29
C: 0.0000 0.5000 0.0000  2 Bi 2.29
C: 0.5000 0.0000 0.0000  2 Bi 2.29